Density functional theory data (PBE+U) for an optimized crystal structure of SrCoF.

Structure (extended XYZ):
```
6
Lattice="-0.846 3.728 -1.948 -0.109 -3.662 -2.234 -8.073 -0.876 1.831" Properties=species:S:1:pos:R:3 pbc="T T T"
F -6.656 0.608 -0.670
F -2.373 -1.417 -1.681
Co -2.619 1.046 -1.586
Co -6.410 -1.855 -0.766
Sr 0.000 0.000 0.000
Sr -4.037 -0.438 0.916
```

Energy relative to the lowest polymorph listed for this composition: 1048 meV per atom
V: 22.12 A^3/atom